TbAlAg: optimized geometry, GGA-PBE.

Output
ρ ... 7.41 g/cm³
Formation enthalpy at 0 K ... -0.399 eV per atom
Total DFT energy (no corrections) ... -4.140 eV/atom
Space group ... C2/m, No. 12
Crystal system ... monoclinic

```
TbAlAg
1.0
-0.709 3.636 -2.725
2.706 -0.511 -5.267
-4.371 -0.672 -3.639
Al Tb Ag
2 2 2
Cartesian
-0.321 0.192 -3.540 Al
-2.054 2.261 -8.090 Al
0.588 1.076 -6.478 Tb
-2.962 1.377 -5.152 Tb
-1.864 -0.357 -7.753 Ag
-0.511 2.811 -3.877 Ag
```